Entry 1:
A plane-wave DFT calculation with PBE-GGA was carried out for an optimized crystal structure of ZrPa3P4.

Cell lengths 6.777, 6.754, 7.882 Å; angles 90.00, 90.00, 109.83 degrees
Sites, in units of the cell vectors:
P: 0.994 0.244 0.630
P: 0.500 0.241 0.881
P: 0.494 0.244 0.370
P: 0.000 0.241 0.119
P: 0.000 0.759 0.881
P: 0.506 0.756 0.630
P: 0.500 0.759 0.119
P: 0.006 0.756 0.370
Pa: 0.750 0.000 0.374
Pa: 0.250 0.000 0.626
Pa: 0.750 0.500 0.626
Pa: 0.750 0.500 0.125
Pa: 0.250 0.500 0.374
Pa: 0.250 0.500 0.875
Zr: 0.750 0.000 0.875
Zr: 0.250 0.000 0.125

Summary:
**D(E_F)**: 1.0385 states/eV/atom
**V**: 21.2 A^3/atom
**Total DFT energy (no corrections)**: -8.67 eV/atom
**Formation energy from the elements**: -1337 meV per atom
**Space-group type**: No. 13
**Size of the total moment**: 0.00 μB/f.u.

=====

Entry 2:
A plane-wave DFT calculation with PBE-GGA was carried out for an optimized crystal structure of Zr2PaP.

Cell lengths 3.442, 3.442, 8.858 Å; angles 78.80, 78.80, 60.00 degrees
Sites, in units of the cell vectors:
Zr: 0.063 0.063 0.810
Zr: 0.270 0.270 0.190
Pa: 0.500 0.500 0.501
P: 0.667 0.667 0.999

Summary:
**Offset from the most stable computed form**: 0 meV per atom
**D(E_F)**: 1.5675 states/eV/atom
**V**: 22.1 A^3/atom
**Total DFT energy (no corrections)**: -8.51 eV/atom
**Formation energy from the elements**: -513 meV per atom
**Space-group type**: No. 160
**Size of the total moment**: 0.00 μB/f.u.

=====

Entry 3:
A plane-wave DFT calculation with PBE-GGA was carried out for an optimized crystal structure of ZrPaP.

Cell lengths 3.702, 4.487, 4.487 Å; angles 120.00, 90.00, 90.00 degrees
Sites, in units of the cell vectors:
P: 0.167 0.000 0.000
Pa: 0.666 0.667 0.333
Zr: 0.167 0.333 0.667

Summary:
**Offset from the most stable computed form**: 326 meV per atom
**D(E_F)**: 1.6832 states/eV/atom
**V**: 21.5 A^3/atom
**Total DFT energy (no corrections)**: -8.20 eV/atom
**Formation energy from the elements**: -387 meV per atom
**Space-group type**: No. 187
**Size of the total moment**: 0.00 μB/f.u.

=====

Entry 4:
A plane-wave DFT calculation with PBE-GGA was carried out for an optimized crystal structure of Zr2PaP.

Cell lengths 3.469, 3.469, 8.811 Å; angles 78.65, 78.65, 60.00 degrees
Sites, in units of the cell vectors:
P: 0.000 0.000 0.000
Pa: 0.500 0.500 0.500
Zr: 0.270 0.270 0.191
Zr: 0.730 0.730 0.809

Summary:
**Offset from the most stable computed form**: 11 meV per atom
**D(E_F)**: 1.5482 states/eV/atom
**V**: 22.4 A^3/atom
**Total DFT energy (no corrections)**: -8.50 eV/atom
**Formation energy from the elements**: -502 meV per atom
**Space-group type**: No. 166
**Size of the total moment**: 0.00 μB/f.u.